1.
Tb7Tm3In2 | PBE | relaxed

Lattice parameters (Å, degrees): 3.580 5.559 18.855 102.99 90.00 90.00
Atoms (fractional coordinates):
Tb 0.500 0.988 0.825
Tb 0.500 0.281 0.540
Tb 0.000 0.000 0.000
Tb 0.000 0.488 0.147
Tb 0.000 0.512 0.853
Tb 0.500 0.719 0.460
Tb 0.500 0.012 0.175
Tm 0.000 0.852 0.634
Tm 0.500 0.500 0.000
Tm 0.000 0.148 0.366
In 0.500 0.597 0.293
In 0.500 0.403 0.707

The calculation puts the total energy at -4.32 eV/atom. The energy relative to the elements comes out at -0.96 kcal/mol of atoms.

=====

2.
K3In2Sn5 | PBE | relaxed

Lattice parameters (Å, degrees): 7.713 10.626 10.626 65.26 68.72 68.72
Atoms (fractional coordinates):
In 0.646 0.990 0.717
In 0.146 0.717 0.990
In 0.354 0.010 0.283
In 0.854 0.283 0.010
K 0.750 0.000 0.000
K 0.634 0.600 0.133
K 0.366 0.400 0.867
K 0.134 0.133 0.600
K 0.866 0.867 0.400
K 0.250 0.000 0.000
Sn 0.503 0.247 0.247
Sn 0.250 0.500 0.500
Sn 0.997 0.753 0.753
Sn 0.372 0.737 0.518
Sn 0.750 0.500 0.500
Sn 0.497 0.753 0.753
Sn 0.872 0.518 0.737
Sn 0.003 0.247 0.247
Sn 0.128 0.482 0.263
Sn 0.628 0.263 0.482

The calculation puts the total energy at -2.97 eV/atom. The energy relative to the elements comes out at -2.06 kcal/mol of atoms.

=====

3.
TaGaB2Rh | PBE | relaxed

Lattice parameters (Å, degrees): 3.976 5.121 3.976 90.00 90.00 90.00
Atoms (fractional coordinates):
B 0.000 0.000 0.500
B 0.500 0.000 0.000
Ta 0.000 0.500 0.000
Ga 0.500 0.500 0.500
Rh 0.000 0.000 0.000

The calculation puts the total energy at -6.32 eV/atom. The energy relative to the elements comes out at 18.39 kcal/mol of atoms.

=====

4.
Mg3Pa5N12 | PBE | relaxed

Lattice parameters (Å, degrees): 11.540 11.540 11.540 109.47 109.47 109.47
Atoms (fractional coordinates):
Pa 0.000 0.000 0.000
Pa 0.375 0.250 0.125
Pa 0.875 0.250 0.625
Pa 0.000 0.500 0.500
Pa 0.500 0.000 0.000
Pa 0.250 0.875 0.125
Pa 0.625 0.875 0.250
Pa 0.500 0.000 0.500
Pa 0.750 0.625 0.375
Pa 0.500 0.500 0.500
Pa 0.625 0.750 0.875
Pa 0.500 0.500 0.000
Pa 0.125 0.750 0.375
Pa 0.125 0.375 0.250
Pa 0.750 0.125 0.875
Pa 0.250 0.375 0.625
Pa 0.375 0.125 0.750
Pa 0.000 0.000 0.500
Pa 0.000 0.500 0.000
Pa 0.875 0.625 0.750
Mg 0.750 0.875 0.625
Mg 0.250 0.625 0.875
Mg 0.875 0.125 0.250
Mg 0.625 0.375 0.750
Mg 0.375 0.625 0.250
Mg 0.125 0.875 0.750
Mg 0.250 0.125 0.375
Mg 0.125 0.250 0.875
Mg 0.750 0.375 0.125
Mg 0.375 0.750 0.625
Mg 0.875 0.750 0.125
Mg 0.625 0.250 0.375
N 0.114 0.461 0.666
N 0.653 0.114 0.449
N 0.886 0.539 0.334
N 0.347 0.886 0.551
N 0.461 0.347 0.795
N 0.949 0.153 0.114
N 0.551 0.166 0.705
N 0.539 0.653 0.205
N 0.614 0.449 0.153
N 0.114 0.653 0.949
N 0.705 0.666 0.551
N 0.051 0.205 0.666
N 0.847 0.795 0.961
N 0.961 0.295 0.847
N 0.705 0.039 0.653
N 0.334 0.295 0.949
N 0.166 0.614 0.461
N 0.834 0.449 0.795
N 0.886 0.347 0.051
N 0.666 0.705 0.051
N 0.153 0.949 0.614
N 0.449 0.834 0.295
N 0.834 0.386 0.539
N 0.961 0.666 0.614
N 0.666 0.961 0.114
N 0.795 0.847 0.461
N 0.949 0.795 0.334
N 0.795 0.949 0.834
N 0.386 0.551 0.847
N 0.051 0.847 0.886
N 0.205 0.051 0.166
N 0.461 0.114 0.166
N 0.295 0.961 0.347
N 0.347 0.461 0.295
N 0.039 0.705 0.153
N 0.153 0.205 0.039
N 0.539 0.886 0.834
N 0.334 0.039 0.886
N 0.039 0.334 0.386
N 0.653 0.539 0.705
N 0.847 0.051 0.386
N 0.295 0.334 0.449
N 0.205 0.153 0.539
N 0.386 0.834 0.039
N 0.551 0.386 0.347
N 0.449 0.614 0.653
N 0.614 0.166 0.961
N 0.166 0.551 0.205

The calculation puts the total energy at -8.50 eV/atom. For the uncorrected formation energy, the calculation gives -0.894 eV/atom.

=====

5.
ScTa2 | PBE | relaxed

Lattice parameters (Å, degrees): 7.385 7.385 4.742 90.00 90.00 153.04
Atoms (fractional coordinates):
Ta 0.572 0.428 0.750
Ta 0.768 0.232 0.250
Ta 0.232 0.768 0.750
Ta 0.428 0.572 0.250
Sc 0.902 0.098 0.750
Sc 0.098 0.902 0.250

As for the energy above the most stable polymorph in this dataset: 0.1104 eV per atom. The calculation puts the total energy at -9.75 eV/atom. The energy relative to the elements comes out at 6.15 kcal/mol of atoms.

=====

6.
NbCo2 | PBE | relaxed

Lattice parameters (Å, degrees): 4.769 4.769 15.542 90.00 90.00 120.00
Site moments in Bohr magnetons follow the coordinates.
Atoms (fractional coordinates):
Nb 0.000 0.000 0.908  -0.03
Nb 0.667 0.333 0.156  -0.05
Nb 0.000 0.000 0.408  -0.03
Nb 0.333 0.667 0.844  -0.05
Nb 0.333 0.667 0.656  -0.05
Nb 0.667 0.333 0.344  -0.05
Nb 0.000 0.000 0.592  -0.03
Nb 0.000 0.000 0.092  -0.03
Co 0.500 0.000 0.000  0.22
Co 0.667 0.333 0.874  0.28
Co 0.670 0.835 0.250  0.27
Co 0.000 0.500 0.500  0.22
Co 0.165 0.330 0.250  0.27
Co 0.000 0.500 0.000  0.22
Co 0.500 0.000 0.500  0.22
Co 0.835 0.165 0.750  0.27
Co 0.500 0.500 0.000  0.22
Co 0.667 0.333 0.626  0.28
Co 0.333 0.667 0.374  0.28
Co 0.165 0.835 0.250  0.27
Co 0.835 0.670 0.750  0.27
Co 0.500 0.500 0.500  0.22
Co 0.330 0.165 0.750  0.27
Co 0.333 0.667 0.126  0.28

The calculation puts the total energy at -8.25 eV/atom. The energy relative to the elements comes out at -3.67 kcal/mol of atoms.

=====

7.
Sm6Ni2AuI3 | PBE | relaxed

Lattice parameters (Å, degrees): 7.233 7.233 8.318 98.36 98.36 119.97
Atoms (fractional coordinates):
Sm 0.583 0.938 0.814
Sm 0.706 0.706 0.185
Sm 0.062 0.417 0.186
Sm 0.294 0.294 0.815
Sm 0.417 0.062 0.186
Sm 0.938 0.583 0.814
Au 0.000 0.000 0.000
I 0.500 0.500 0.500
I 0.835 0.165 0.500
I 0.165 0.835 0.500
Ni 0.667 0.333 0.000
Ni 0.333 0.667 0.000

The calculation puts the total energy at -4.71 eV/atom. For the uncorrected formation energy, the calculation gives -0.723 eV/atom.

=====

8.
SiSI2O | PBE | relaxed

Lattice parameters (Å, degrees): 5.620 5.620 3.420 90.00 90.00 90.00
Atoms (fractional coordinates):
Si 0.000 0.000 0.000
S 0.500 0.500 0.500
I 0.000 0.500 0.000
I 0.500 0.000 0.000
O 0.000 0.000 0.500

As for the energy above the most stable polymorph in this dataset: 0.0000 eV per atom. The calculation puts the total energy at -3.52 eV/atom. For the uncorrected formation energy, the calculation gives -0.002 eV/atom.

=====

9.
Hf2SiHIr6 | PBE | relaxed

Lattice parameters (Å, degrees): 5.940 5.940 5.953 59.97 59.97 90.01
Atoms (fractional coordinates):
Ir 0.266 0.266 0.467
Ir 0.734 0.734 0.533
Ir 0.734 0.266 0.000
Ir 0.734 0.734 0.999
Ir 0.266 0.266 0.001
Ir 0.266 0.734 0.000
Hf 0.750 0.250 0.500
Hf 0.250 0.750 0.500
Si 0.000 0.000 0.000
H 0.500 0.500 0.000

The calculation puts the total energy at -8.63 eV/atom.

=====

10.
KLaY2 | PBE | relaxed

Lattice parameters (Å, degrees): 5.512 5.244 5.244 90.00 90.00 90.00
Site moments in Bohr magnetons follow the coordinates.
Atoms (fractional coordinates):
K 0.500 0.500 0.000  0.00
Y 0.000 0.500 0.500  0.07
Y 0.000 0.000 0.000  0.07
La 0.500 0.000 0.500  0.07

As for the energy above the most stable polymorph in this dataset: 0.3243 eV per atom. The calculation puts the total energy at -4.23 eV/atom. The energy relative to the elements comes out at 11.80 kcal/mol of atoms.

=====

11.
BaU2Se5 | PBE | relaxed

Lattice parameters (Å, degrees): 4.273 7.114 8.449 114.90 104.65 90.00
Site moments in Bohr magnetons follow the coordinates.
Atoms (fractional coordinates):
Se 0.350 0.615 0.701  -0.07
Se 0.650 0.914 0.299  -0.07
Se 0.350 0.086 0.701  -0.07
Se 0.650 0.385 0.299  -0.07
Se 0.000 0.500 0.000  -0.11
U 0.813 0.313 0.627  2.09
U 0.187 0.687 0.373  2.09
Ba 0.000 0.000 0.000  0.01

As for the energy above the most stable polymorph in this dataset: 0.0000 eV per atom. The calculation puts the total energy at -6.61 eV/atom. For the uncorrected formation energy, the calculation gives -1.366 eV/atom.

=====

12.
YMn2Si | PBE | relaxed

Lattice parameters (Å, degrees): 3.889 3.889 5.587 69.64 69.64 60.01
Atoms (fractional coordinates):
Si 0.455 0.455 0.636
Y 0.252 0.252 0.245
Mn 0.051 0.051 0.846
Mn 0.742 0.742 0.773

The calculation puts the total energy at -7.92 eV/atom. For the uncorrected formation energy, the calculation gives -0.359 eV/atom.

=====

13.
CaP2PbO6 | PBE | relaxed

Lattice parameters (Å, degrees): 6.022 6.022 5.712 58.18 58.18 60.00
Atoms (fractional coordinates):
O 0.539 0.711 0.726
O 0.289 0.976 0.274
O 0.711 0.024 0.726
O 0.976 0.461 0.274
O 0.024 0.539 0.726
O 0.461 0.289 0.274
Pb 0.000 0.000 0.000
P 0.788 0.788 0.637
P 0.212 0.212 0.363
Ca 0.500 0.500 0.500

The calculation puts the total energy at -6.62 eV/atom. For the uncorrected formation energy, the calculation gives -1.996 eV/atom.

=====

14.
Dy5BiTe5 | PBE | relaxed

Lattice parameters (Å, degrees): 6.201 7.536 8.703 106.65 90.00 114.30
Atoms (fractional coordinates):
Te 0.662 0.324 0.337
Te 0.334 0.668 0.170
Te 0.000 0.000 0.500
Te 0.666 0.332 0.830
Te 0.338 0.676 0.663
Bi 0.000 0.000 0.000
Dy 0.834 0.667 0.171
Dy 0.165 0.331 0.337
Dy 0.500 0.000 0.000
Dy 0.835 0.669 0.663
Dy 0.166 0.333 0.829

The calculation puts the total energy at -5.17 eV/atom. For the uncorrected formation energy, the calculation gives -1.294 eV/atom.

=====

15.
CsK2PS4 | PBE | relaxed

Lattice parameters (Å, degrees): 8.712 8.712 10.405 126.63 126.63 73.52
Atoms (fractional coordinates):
K 0.500 0.500 0.000
K 0.000 0.000 0.500
K 0.500 0.000 0.500
K 0.500 0.000 0.000
P 0.000 0.000 0.000
P 0.500 0.500 0.500
S 0.000 0.000 0.793
S 0.772 0.183 0.977
S 0.500 0.500 0.707
S 0.683 0.272 0.477
S 0.228 0.817 0.023
S 0.317 0.728 0.523
S 0.000 0.000 0.207
S 0.500 0.500 0.293
Cs 0.000 0.500 0.500
Cs 0.000 0.500 0.000

The calculation puts the total energy at -3.66 eV/atom. For the uncorrected formation energy, the calculation gives -0.539 eV/atom.

=====

16.
Mn2P | PBE | relaxed

Lattice parameters (Å, degrees): 5.695 2.630 4.545 90.00 105.24 90.00
Site moments in Bohr magnetons follow the coordinates.
Atoms (fractional coordinates):
Mn 0.174 0.500 0.724  0.08
Mn 0.826 0.500 0.276  0.08
Mn 0.826 0.000 0.776  0.08
Mn 0.174 0.000 0.224  0.08
P 0.500 0.000 0.000  0.00
P 0.500 0.500 0.500  0.00

The calculation puts the total energy at -8.01 eV/atom. The energy relative to the elements comes out at -2.17 kcal/mol of atoms.

=====

17.
CeBN | PBE | relaxed

Lattice parameters (Å, degrees): 3.797 3.797 4.167 117.11 117.11 90.00
Site moments in Bohr magnetons follow the coordinates.
Atoms (fractional coordinates):
N 0.559 0.559 0.118  0.00
B 0.348 0.348 0.697  0.01
Ce 0.943 0.943 0.886  0.32

As for the energy above the most stable polymorph in this dataset: 0.5244 eV per atom. The calculation puts the total energy at -7.68 eV/atom. For the uncorrected formation energy, the calculation gives -0.704 eV/atom.

=====

18.
TaInRh2 | PBE | relaxed

Lattice parameters (Å, degrees): 2.979 2.979 7.447 90.00 90.00 90.00
Atoms (fractional coordinates):
Ta 0.500 0.500 0.250
Rh 0.000 0.000 0.009
Rh 0.000 0.000 0.491
In 0.500 0.500 0.750

The calculation puts the total energy at -7.79 eV/atom. The energy relative to the elements comes out at -10.86 kcal/mol of atoms.

=====

19.
Ba2Pu3PdO12 | PBE | relaxed

Lattice parameters (Å, degrees): 7.188 7.188 7.188 66.33 66.33 66.33
Site moments in Bohr magnetons follow the coordinates.
Atoms (fractional coordinates):
O 0.859 0.859 0.454  -0.10
O 0.859 0.454 0.859  -0.10
O 0.141 0.141 0.546  -0.10
O 0.279 0.279 0.870  -0.12
O 0.870 0.279 0.279  -0.12
O 0.721 0.130 0.721  -0.12
O 0.141 0.546 0.141  -0.10
O 0.546 0.141 0.141  -0.10
O 0.454 0.859 0.859  -0.10
O 0.279 0.870 0.279  -0.12
O 0.721 0.721 0.130  -0.12
O 0.130 0.721 0.721  -0.12
Pd 0.000 0.000 0.000  -0.63
Pu 0.000 0.000 0.500  2.04
Pu 0.000 0.500 0.000  2.04
Pu 0.500 0.000 0.000  2.04
Ba 0.611 0.611 0.611  -0.01
Ba 0.389 0.389 0.389  -0.01

The calculation puts the total energy at -8.49 eV/atom. For the uncorrected formation energy, the calculation gives -2.292 eV/atom.